# BaSr2TlPd | the Alexandria database | GGA-PBE | optimized geometry
data_BaSr2TlPd
_space_group_name_H-M_alt 'P 4/m m m'
_space_group_IT_number 123
_space_group_name_Hall '-P 4 2'
_cell_length_a 5.924
_cell_length_b 5.924
_cell_length_c 6.131
_cell_angle_alpha 90.00
_cell_angle_beta 90.00
_cell_angle_gamma 90.00
loop_
_atom_site_label
_atom_site_fract_x
_atom_site_fract_y
_atom_site_fract_z
Ba1 0.000 0.000 0.000
Sr1 0.000 0.500 0.500
Tl1 0.500 0.500 0.000
Pd1 0.000 0.000 0.500
# Total magnetic moment (μB per formula unit): 0.00
# Formation energy (eV per atom): -0.308
# Distance to the lowest polymorph of the same formula (eV per atom): 0.000
# Mass density (Mg/m³): 4.8

# Ba2SrTlPd | the Alexandria database | GGA-PBE | optimized geometry
data_Ba2SrTlPd
_space_group_name_H-M_alt 'P 4/m m m'
_space_group_IT_number 123
_space_group_name_Hall '-P 4 2'
_cell_length_a 6.226
_cell_length_b 6.226
_cell_length_c 5.482
_cell_angle_alpha 90.00
_cell_angle_beta 90.00
_cell_angle_gamma 90.00
loop_
_atom_site_label
_atom_site_fract_x
_atom_site_fract_y
_atom_site_fract_z
Ba1 0.000 0.500 0.000
Sr1 0.000 0.000 0.500
Tl1 0.500 0.500 0.500
Pd1 0.500 0.500 0.000
# Total magnetic moment (μB per formula unit): 0.00
# Formation energy (eV per atom): -0.237
# Distance to the lowest polymorph of the same formula (eV per atom): 0.059
# Mass density (Mg/m³): 5.3

# Ba2SrTlPd | the Alexandria database | GGA-PBE | optimized geometry
data_Ba2SrTlPd
_space_group_name_H-M_alt 'P 4/m m m'
_space_group_IT_number 123
_space_group_name_Hall '-P 4 2'
_cell_length_a 6.167
_cell_length_b 6.167
_cell_length_c 5.918
_cell_angle_alpha 90.00
_cell_angle_beta 90.00
_cell_angle_gamma 90.00
loop_
_atom_site_label
_atom_site_fract_x
_atom_site_fract_y
_atom_site_fract_z
Ba1 0.000 0.500 0.000
Sr1 0.000 0.000 0.500
Tl1 0.500 0.500 0.500
Pd1 0.000 0.000 0.000
# Total magnetic moment (μB per formula unit): 0.00
# Formation energy (eV per atom): -0.296
# Distance to the lowest polymorph of the same formula (eV per atom): 0.000
# Mass density (Mg/m³): 5.0